[1]
Crystalline Tb7Ga2Co2 at its relaxed geometry, computed with PBE-GGA.

Calculated values
As for the space group: Cmmm, No. 65. Its crystal system is orthorhombic. The value obtained for the total energy is -5.00 eV/atom. The energy relative to the elements is -0.207 eV per atom.

Cell: 6.6552 6.8280 6.6552 Å, 90.00 110.03 90.00°
With the nearest neighbours (Å) after each atom.
Fractional coordinates of all 11 atoms:
Tb  0.9998  0.2524  0.5003  2 Co 2.62
Tb  0.5003  0.7476  0.9998  2 Co 2.62
Tb  0.0002  0.7476  0.4997  2 Co 2.62
Tb  0.4997  0.2524  0.0002  2 Co 2.62
Tb  0.0000  0.0000  0.0000  2 Co 3.23
Tb  0.5002  0.7537  0.4998  2 Co 2.78-2.79, 2 Ga 3.08
Tb  0.4998  0.2463  0.5002  2 Co 2.78-2.79, 2 Ga 3.08
Ga  0.8336  0.5000  0.8336  1 Ga 2.54
Ga  0.1664  0.5000  0.1664  1 Ga 2.54
Co  0.7037  0.0000  0.2963  6 Tb 2.62-2.79
Co  0.2963  0.0000  0.7037  6 Tb 2.62-2.79

---

[2]
Crystalline Tb3Ga3Co2 at its relaxed geometry, computed with PBE-GGA.

Calculated values
As for the space group: Cmcm, No. 63. Its crystal system is orthorhombic. The value obtained for the total energy is -5.15 eV/atom. The energy relative to the elements is -0.502 eV per atom.

Cell: 4.1634 5.5295 14.7141 Å, 90.00 90.00 112.12°
With the nearest neighbours (Å) after each atom.
Fractional coordinates of all 16 atoms:
Tb  0.9261  0.8522  0.3916  3 Co 2.96-3.00, 7 Ga 3.06-3.20
Tb  0.0739  0.1478  0.8916  3 Co 2.96-3.00, 7 Ga 3.06-3.20
Tb  0.9261  0.8522  0.1084  3 Co 2.96-3.00, 7 Ga 3.06-3.20
Tb  0.0739  0.1478  0.6084  3 Co 2.96-3.00, 7 Ga 3.06-3.20
Tb  0.6445  0.2889  0.2500  5 Ga 2.94-3.13, 4 Co 3.06
Tb  0.3555  0.7111  0.7500  5 Ga 2.94-3.13, 4 Co 3.06
Ga  0.6406  0.2812  0.4626  3 Co 2.43-2.57
Ga  0.3594  0.7188  0.9626  3 Co 2.43-2.57
Ga  0.6406  0.2812  0.0374  3 Co 2.43-2.57
Ga  0.3594  0.7188  0.5374  3 Co 2.43-2.57
Ga  0.3465  0.6930  0.2500  2 Co 2.52
Ga  0.6535  0.3070  0.7500  2 Co 2.52
Co  0.7853  0.5706  0.8944  4 Ga 2.43-2.57
Co  0.2147  0.4294  0.3944  4 Ga 2.43-2.57
Co  0.7853  0.5706  0.6056  4 Ga 2.43-2.57
Co  0.2147  0.4294  0.1056  4 Ga 2.43-2.57

---

[3]
Crystalline TbGaCo4 at its relaxed geometry, computed with PBE-GGA.

Calculated values
As for the space group: Cmcm, No. 63. As for the energy relative to the lowest polymorph listed for this composition: 226 meV per atom. Its crystal system is orthorhombic. The value obtained for the total energy is -6.05 eV/atom. The energy relative to the elements is -0.032 eV per atom.

Cell: 4.0837 5.6954 7.6854 Å, 90.00 105.41 90.00°
With the nearest neighbours (Å) after each atom.
Fractional coordinates of all 12 atoms:
Tb  0.1238  0.2500  0.2476  7 Co 2.72-2.99, 2 Ga 3.04
Tb  0.8762  0.7500  0.7524  7 Co 2.72-2.99, 2 Ga 3.04
Ga  0.2243  0.7500  0.4485  7 Co 2.42-2.54
Ga  0.7757  0.2500  0.5515  7 Co 2.42-2.54
Co  0.5000  0.5000  0.0000  2 Co 2.34
Co  0.5000  0.0000  0.0000  2 Co 2.34
Co  0.6564  0.9463  0.3129  2 Co 2.24-2.34, 1 Ga 2.47
Co  0.3436  0.0537  0.6871  2 Co 2.24-2.34, 1 Ga 2.47
Co  0.3436  0.4463  0.6871  2 Co 2.24-2.34, 1 Ga 2.47
Co  0.6564  0.5537  0.3129  2 Co 2.24-2.34, 1 Ga 2.47
Co  0.0613  0.7500  0.1225  1 Ga 2.42, 4 Co 2.65
Co  0.9387  0.2500  0.8775  1 Ga 2.42, 4 Co 2.65

---

[4]
Crystalline Tb12GaCo5 at its relaxed geometry, computed with PBE-GGA.

Calculated values
As for the space group: Immm, No. 71. Its crystal system is orthorhombic. The value obtained for the total energy is -5.45 eV/atom. The energy relative to the elements is -0.221 eV per atom.

Cell: 8.2643 8.2643 8.2643 Å, 107.43 110.65 110.35°
With the nearest neighbours (Å) after each atom.
Fractional coordinates of all 18 atoms:
Tb  0.5218  0.8141  0.7076  2 Co 2.85
Tb  0.4782  0.1859  0.2924  2 Co 2.85
Tb  0.8935  0.1859  0.7076  2 Co 2.85
Tb  0.1065  0.8141  0.2924  2 Co 2.85
Tb  0.6970  0.6833  0.3803  3 Co 2.72-2.83
Tb  0.3030  0.3167  0.6197  3 Co 2.72-2.83
Tb  0.3030  0.6833  0.9863  3 Co 2.72-2.83
Tb  0.6970  0.3167  0.0137  3 Co 2.72-2.83
Tb  0.8090  0.5975  0.7885  2 Co 2.71-2.74
Tb  0.1910  0.4025  0.2115  2 Co 2.71-2.74
Tb  0.1910  0.9796  0.7885  2 Co 2.71-2.74
Tb  0.8090  0.0204  0.2115  2 Co 2.71-2.74
Ga  0.0000  0.5000  0.5000  12 Tb 3.35-3.55
Co  0.6236  0.6236  0.0000  1 Co 2.33
Co  0.3764  0.3764  0.0000  1 Co 2.33
Co  0.5000  0.1135  0.6135  1 Co 2.22
Co  0.5000  0.8865  0.3865  1 Co 2.22
Co  0.0000  0.0000  0.0000  4 Tb 2.74

---

[5]
Crystalline TbGa7Co2 at its relaxed geometry, computed with PBE-GGA.

Calculated values
As for the space group: Cmmm, No. 65. Its crystal system is orthorhombic. The value obtained for the total energy is -4.08 eV/atom. The energy relative to the elements is -0.074 eV per atom.

Cell: 4.5272 7.2234 7.2235 Å, 120.46 90.00 90.00°
With the nearest neighbours (Å) after each atom.
Fractional coordinates of all 10 atoms:
Tb  0.0000  0.0000  0.0000  8 Ga 3.19
Ga  0.0000  0.6883  0.3117  2 Co 2.27
Ga  0.0000  0.3117  0.6883  2 Co 2.27
Ga  0.5000  0.0307  0.3251  2 Co 2.35-2.50, 1 Ga 2.55
Ga  0.5000  0.9693  0.6749  2 Co 2.35-2.50, 1 Ga 2.55
Ga  0.5000  0.3251  0.0307  2 Co 2.35-2.50, 1 Ga 2.55
Ga  0.5000  0.6749  0.9693  2 Co 2.35-2.50, 1 Ga 2.55
Ga  0.5000  0.5000  0.5000  2 Co 2.28
Co  0.5000  0.6818  0.3182  7 Ga 2.27-2.50
Co  0.5000  0.3182  0.6818  7 Ga 2.27-2.50

---

[6]
Crystalline TbGa3Co at its relaxed geometry, computed with PBE-GGA.

Calculated values
As for the space group: Pnma, No. 62. As for the energy relative to the lowest polymorph listed for this composition: 0 meV per atom. Its crystal system is orthorhombic. The value obtained for the total energy is -4.69 eV/atom. The energy relative to the elements is -0.525 eV per atom.

Cell: 4.0872 8.1946 10.4634 Å, 90.00 90.00 90.00°
With the nearest neighbours (Å) after each atom.
Fractional coordinates of all 20 atoms:
Tb  0.7500  0.8023  0.0152  9 Ga 2.97-3.28, 2 Co 3.11
Tb  0.2500  0.6977  0.5152  9 Ga 2.97-3.28, 2 Co 3.11
Tb  0.7500  0.3023  0.4848  9 Ga 2.97-3.28, 2 Co 3.11
Tb  0.2500  0.1977  0.9848  9 Ga 2.97-3.28, 2 Co 3.11
Ga  0.2500  0.5542  0.0836  3 Co 2.46-2.52, 1 Ga 2.62
Ga  0.7500  0.4458  0.9164  3 Co 2.46-2.52, 1 Ga 2.62
Ga  0.2500  0.0542  0.4164  3 Co 2.46-2.52, 1 Ga 2.62
Ga  0.7500  0.9458  0.5836  3 Co 2.46-2.52, 1 Ga 2.62
Ga  0.2500  0.3849  0.7075  2 Co 2.36-2.37
Ga  0.7500  0.1151  0.2075  2 Co 2.36-2.37
Ga  0.2500  0.8849  0.7925  2 Co 2.36-2.37
Ga  0.7500  0.6430  0.7190  2 Co 2.49, 1 Ga 2.62
Ga  0.2500  0.3570  0.2810  2 Co 2.49, 1 Ga 2.62
Ga  0.7500  0.1430  0.7810  2 Co 2.49, 1 Ga 2.62
Ga  0.7500  0.6151  0.2925  2 Co 2.36-2.37
Ga  0.2500  0.8570  0.2190  2 Co 2.49, 1 Ga 2.62
Co  0.2500  0.1056  0.6476  7 Ga 2.36-2.52
Co  0.2500  0.6056  0.8524  7 Ga 2.36-2.52
Co  0.7500  0.3944  0.1476  7 Ga 2.36-2.52
Co  0.7500  0.8944  0.3524  7 Ga 2.36-2.52

---

[7]
Crystalline TbGaCo4 at its relaxed geometry, computed with PBE-GGA.

Calculated values
As for the space group: P6/mmm, No. 191. As for the energy relative to the lowest polymorph listed for this composition: 0 meV per atom. Its crystal system is hexagonal. The value obtained for the total energy is -6.27 eV/atom. The energy relative to the elements is -0.258 eV per atom.

Cell: 8.5807 8.5807 4.0172 Å, 90.00 90.00 120.00°
With the nearest neighbours (Å) after each atom.
Fractional coordinates of all 18 atoms:
Tb  0.3333  0.6667  0.0000  6 Co 2.89, 6 Ga 3.19
Tb  0.6667  0.3333  0.0000  6 Co 2.89, 6 Ga 3.19
Tb  0.0000  0.0000  0.0000  18 Co 2.80-3.11
Ga  0.5000  0.0000  0.5000  8 Co 2.50-2.53
Ga  0.0000  0.5000  0.5000  8 Co 2.50-2.53
Ga  0.5000  0.5000  0.5000  8 Co 2.50-2.53
Co  0.3266  0.0000  0.0000  4 Co 2.45, 2 Ga 2.50
Co  0.6734  0.0000  0.0000  4 Co 2.45, 2 Ga 2.50
Co  0.0000  0.3266  0.0000  4 Co 2.45, 2 Ga 2.50
Co  0.0000  0.6734  0.0000  4 Co 2.45, 2 Ga 2.50
Co  0.6734  0.6734  0.0000  4 Co 2.45, 2 Ga 2.50
Co  0.3266  0.3266  0.0000  4 Co 2.45, 2 Ga 2.50
Co  0.1601  0.3203  0.5000  6 Co 2.38-2.45, 2 Ga 2.53
Co  0.8399  0.6797  0.5000  6 Co 2.38-2.45, 2 Ga 2.53
Co  0.6797  0.8399  0.5000  6 Co 2.38-2.45, 2 Ga 2.53
Co  0.3203  0.1601  0.5000  6 Co 2.38-2.45, 2 Ga 2.53
Co  0.1601  0.8399  0.5000  6 Co 2.38-2.45, 2 Ga 2.53
Co  0.8399  0.1601  0.5000  6 Co 2.38-2.45, 2 Ga 2.53

---

[8]
Crystalline TbGa5Co2 at its relaxed geometry, computed with PBE-GGA.

Calculated values
As for the space group: Immm, No. 71. Its crystal system is orthorhombic. The value obtained for the total energy is -4.64 eV/atom. The energy relative to the elements is -0.397 eV per atom.

Cell: 3.8988 6.2794 6.2794 Å, 67.16 71.91 71.91°
With the nearest neighbours (Å) after each atom.
Fractional coordinates of all 8 atoms:
Tb  0.0000  0.0000  0.0000  4 Co 3.21, 10 Ga 3.24-3.47
Ga  0.0000  0.5000  0.5000  2 Co 2.30
Ga  0.6549  0.5422  0.1481  3 Co 2.35-2.51
Ga  0.3451  0.4578  0.8519  3 Co 2.35-2.51
Ga  0.3451  0.8519  0.4578  3 Co 2.35-2.51
Ga  0.6549  0.1481  0.5422  3 Co 2.35-2.51
Co  0.7632  0.7368  0.7368  7 Ga 2.30-2.51
Co  0.2368  0.2632  0.2632  7 Ga 2.30-2.51

---

[9]
Crystalline TbGaCo at its relaxed geometry, computed with PBE-GGA.

Calculated values
As for the space group: Pnma, No. 62. Its crystal system is orthorhombic. The value obtained for the total energy is -5.40 eV/atom. The energy relative to the elements is -0.476 eV per atom.

Cell: 4.1313 6.7398 7.6538 Å, 90.00 90.00 90.00°
With the nearest neighbours (Å) after each atom.
Fractional coordinates of all 12 atoms:
Tb  0.2500  0.0267  0.8143  5 Co 2.86-2.95, 6 Ga 3.03-3.16
Tb  0.2500  0.5267  0.6857  5 Co 2.86-2.95, 6 Ga 3.03-3.16
Tb  0.7500  0.9733  0.1857  5 Co 2.86-2.95, 6 Ga 3.03-3.16
Tb  0.7500  0.4733  0.3143  5 Co 2.86-2.95, 6 Ga 3.03-3.16
Ga  0.2500  0.1545  0.4348  4 Co 2.53-2.58
Ga  0.2500  0.6545  0.0652  4 Co 2.53-2.58
Ga  0.7500  0.8455  0.5652  4 Co 2.53-2.58
Ga  0.7500  0.3455  0.9348  4 Co 2.53-2.58
Co  0.2500  0.7756  0.3835  4 Ga 2.53-2.58
Co  0.2500  0.2756  0.1165  4 Ga 2.53-2.58
Co  0.7500  0.2244  0.6165  4 Ga 2.53-2.58
Co  0.7500  0.7244  0.8835  4 Ga 2.53-2.58

---

[10]
Crystalline Tb2Ga3Co2 at its relaxed geometry, computed with PBE-GGA.

Calculated values
As for the space group: C2/m, No. 12. Its crystal system is monoclinic. The value obtained for the total energy is -5.15 eV/atom. The energy relative to the elements is -0.502 eV per atom.

Cell: 3.9891 5.3569 6.9235 Å, 113.67 90.00 111.86°
With the nearest neighbours (Å) after each atom.
Fractional coordinates of all 7 atoms:
Tb  0.8564  0.7128  0.2271  4 Co 2.81-3.01, 3 Ga 3.02-3.10
Tb  0.1436  0.2872  0.7729  4 Co 2.81-3.01, 3 Ga 3.02-3.10
Ga  0.5000  0.0000  0.0000  4 Co 2.45
Ga  0.6413  0.2827  0.4444  3 Co 2.53-2.59, 3 Ga 2.78-2.79
Ga  0.3587  0.7173  0.5556  3 Co 2.53-2.59, 3 Ga 2.78-2.79
Co  0.8699  0.7398  0.8009  5 Ga 2.45-2.59
Co  0.1301  0.2602  0.1991  5 Ga 2.45-2.59

---

[11]
Crystalline TbGa2Co at its relaxed geometry, computed with PBE-GGA.

Calculated values
As for the space group: Pnma, No. 62. Its crystal system is orthorhombic. The value obtained for the total energy is -4.98 eV/atom. The energy relative to the elements is -0.528 eV per atom.

Cell: 5.5889 6.8142 14.6492 Å, 90.00 90.00 90.00°
With the nearest neighbours (Å) after each atom.
Fractional coordinates of all 32 atoms:
Tb  0.4652  0.2500  0.1384  3 Co 2.81-3.13, 4 Ga 3.00-3.01
Tb  0.9652  0.7500  0.3616  3 Co 2.81-3.13, 4 Ga 3.00-3.01
Tb  0.5348  0.7500  0.8616  3 Co 2.81-3.13, 4 Ga 3.00-3.01
Tb  0.0348  0.2500  0.6384  3 Co 2.81-3.13, 4 Ga 3.00-3.01
Tb  0.7394  0.2500  0.3982  2 Co 2.84-2.92, 6 Ga 2.98-3.13
Tb  0.2394  0.7500  0.1018  2 Co 2.84-2.92, 6 Ga 2.98-3.13
Tb  0.2606  0.7500  0.6018  2 Co 2.84-2.92, 6 Ga 2.98-3.13
Tb  0.7606  0.2500  0.8982  2 Co 2.84-2.92, 6 Ga 2.98-3.13
Ga  0.9481  0.0506  0.2109  3 Co 2.46-2.48, 1 Ga 2.72
Ga  0.4481  0.9494  0.2891  3 Co 2.46-2.48, 1 Ga 2.72
Ga  0.0519  0.5506  0.7891  3 Co 2.46-2.48, 1 Ga 2.72
Ga  0.5519  0.4494  0.7109  3 Co 2.46-2.48, 1 Ga 2.72
Ga  0.0519  0.9494  0.7891  3 Co 2.46-2.48, 1 Ga 2.72
Ga  0.5519  0.0506  0.7109  3 Co 2.46-2.48, 1 Ga 2.72
Ga  0.9481  0.4494  0.2109  3 Co 2.46-2.48, 1 Ga 2.72
Ga  0.4481  0.5506  0.2891  3 Co 2.46-2.48, 1 Ga 2.72
Ga  0.7550  0.5583  0.0426  3 Co 2.53-2.54, 2 Ga 2.61-2.79
Ga  0.2550  0.4417  0.4574  3 Co 2.53-2.54, 2 Ga 2.61-2.79
Ga  0.2450  0.0583  0.9574  3 Co 2.53-2.54, 2 Ga 2.61-2.79
Ga  0.7450  0.9417  0.5426  3 Co 2.53-2.54, 2 Ga 2.61-2.79
Ga  0.2450  0.4417  0.9574  3 Co 2.53-2.54, 2 Ga 2.61-2.79
Ga  0.7450  0.5583  0.5426  3 Co 2.53-2.54, 2 Ga 2.61-2.79
Ga  0.7550  0.9417  0.0426  3 Co 2.53-2.54, 2 Ga 2.61-2.79
Ga  0.2550  0.0583  0.4574  3 Co 2.53-2.54, 2 Ga 2.61-2.79
Co  0.2075  0.2500  0.3100  6 Ga 2.46-2.54
Co  0.7075  0.7500  0.1900  6 Ga 2.46-2.54
Co  0.7925  0.7500  0.6900  6 Ga 2.46-2.54
Co  0.2925  0.2500  0.8100  6 Ga 2.46-2.54
Co  0.9951  0.2500  0.0702  6 Ga 2.48-2.53
Co  0.4951  0.7500  0.4298  6 Ga 2.48-2.53
Co  0.0049  0.7500  0.9298  6 Ga 2.48-2.53
Co  0.5049  0.2500  0.5702  6 Ga 2.48-2.53

---

[12]
Crystalline TbGa2Co3 at its relaxed geometry, computed with PBE-GGA.

Calculated values
As for the space group: P6/mmm, No. 191. As for the energy relative to the lowest polymorph listed for this composition: 15 meV per atom. Its crystal system is hexagonal. The value obtained for the total energy is -5.70 eV/atom. The energy relative to the elements is -0.362 eV per atom.

Cell: 3.7432 5.2448 5.2448 Å, 120.00 90.00 90.00°
With the nearest neighbours (Å) after each atom.
Fractional coordinates of all 6 atoms:
Tb  0.0000  0.0000  0.0000  6 Ga 3.03, 12 Co 3.22
Ga  0.0000  0.6667  0.3333  6 Co 2.41
Ga  0.0000  0.3333  0.6667  6 Co 2.41
Co  0.5000  0.5000  0.5000  4 Ga 2.41, 4 Co 2.62
Co  0.5000  0.5000  0.0000  4 Ga 2.41, 4 Co 2.62
Co  0.5000  0.0000  0.5000  4 Ga 2.41, 4 Co 2.62